A relaxed structure of BeCo3Te. Source: the Alexandria database, functional PBE.

POSCAR file:
```
BeCo3Te
1.0
4.587 0.000 0.000
0.000 4.587 0.000
0.000 0.000 4.587
Be Co Te
1 3 1
Cartesian
0.000 0.000 0.000
0.000 2.293 2.293
2.293 0.000 2.293
2.293 2.293 0.000
2.293 2.293 2.293
```

As for the uncorrected formation energy: 1.4313 eV per atom. The value obtained for the relative energy among the computed polymorphs is 1036 meV per atom. As for the total energy: -4.21 eV per atom.

A relaxed structure of BeCoTe. Source: the Alexandria database, functional PBE.

POSCAR file:
```
BeCoTe
1.0
0.000 2.823 2.823
2.823 0.000 2.823
2.823 2.823 0.000
Be Co Te
1 1 1
Cartesian
0.000 0.000 0.000
1.411 1.411 1.411
2.823 2.823 2.823
```

As for the uncorrected formation energy: -0.0120 eV per atom. The value obtained for the relative energy among the computed polymorphs is 177 meV per atom. As for the total energy: -4.67 eV per atom.

A relaxed structure of BeCo2Te. Source: the Alexandria database, functional PBE.

POSCAR file:
```
BeCo2Te
1.0
1.908 1.101 4.059
-1.908 1.101 4.059
0.000 -2.203 4.059
Be Co Te
1 2 1
Cartesian
0.000 0.000 0.000
0.000 0.000 3.399
0.000 0.000 8.777
0.000 0.000 6.088
```

As for the uncorrected formation energy: 0.1766 eV per atom. The value obtained for the relative energy among the computed polymorphs is 0 meV per atom. As for the total energy: -5.09 eV per atom.

A relaxed structure of Be2CoTe. Source: the Alexandria database, functional PBE.

POSCAR file:
```
Be2CoTe
1.0
-1.825 1.825 3.822
1.825 -1.825 3.822
1.825 1.825 -3.822
Be Co Te
2 1 1
Cartesian
0.000 0.000 0.000
0.000 1.825 1.911
1.825 0.000 1.911
0.000 0.000 3.822
```

As for the uncorrected formation energy: 0.4263 eV per atom. As for the total energy: -4.00 eV per atom.

A relaxed structure of Be2CoTe. Source: the Alexandria database, functional PBE.

POSCAR file:
```
Be2CoTe
1.0
3.565 0.000 0.000
0.000 1.434 5.551
0.000 -1.434 5.551
Be Co Te
2 1 1
Cartesian
0.000 0.000 0.000
1.782 0.000 1.264
0.000 0.000 7.164
1.782 0.000 9.169
```

As for the uncorrected formation energy: 0.1993 eV per atom. As for the total energy: -4.23 eV per atom.

A relaxed structure of Be2CoTe. Source: the Alexandria database, functional PBE.

POSCAR file:
```
Be2CoTe
1.0
3.208 0.000 0.000
0.000 3.208 0.000
0.000 0.000 5.036
Be Co Te
2 1 1
Cartesian
0.000 0.000 1.028
0.000 0.000 4.008
1.604 1.604 0.000
1.604 1.604 2.518
```

As for the uncorrected formation energy: 0.3209 eV per atom. As for the total energy: -4.10 eV per atom.

A relaxed structure of BeCoTe3. Source: the Alexandria database, functional PBE.

POSCAR file:
```
BeCoTe3
1.0
5.003 0.000 0.000
0.000 5.003 0.000
0.000 0.000 5.003
Be Co Te
1 1 3
Cartesian
0.000 0.000 0.000
2.502 2.502 2.502
0.000 2.502 2.502
2.502 0.000 2.502
2.502 2.502 0.000
```

As for the uncorrected formation energy: 0.8248 eV per atom. The value obtained for the relative energy among the computed polymorphs is 0 meV per atom. As for the total energy: -3.23 eV per atom.

A relaxed structure of Be2CoTe. Source: the Alexandria database, functional PBE.

POSCAR file:
```
Be2CoTe
1.0
2.491 -2.894 0.000
2.491 2.894 0.000
0.000 0.000 3.558
Be Co Te
2 1 1
Cartesian
1.246 1.447 0.000
1.246 -1.447 0.000
0.000 0.000 1.779
2.491 0.000 1.779
```

As for the uncorrected formation energy: 0.4100 eV per atom. As for the total energy: -4.02 eV per atom.

A relaxed structure of BeCo2Te. Source: the Alexandria database, functional PBE.

POSCAR file:
```
BeCo2Te
1.0
2.982 0.000 0.000
0.000 3.484 0.000
-1.239 0.000 5.092
Be Co Te
1 2 1
Cartesian
0.000 0.000 0.000
0.870 1.742 1.060
0.872 1.742 4.032
-0.620 0.000 2.546
```

As for the uncorrected formation energy: 0.3168 eV per atom. The value obtained for the relative energy among the computed polymorphs is 140 meV per atom. As for the total energy: -4.95 eV per atom.

A relaxed structure of BeCoTe4. Source: the Alexandria database, functional PBE.

POSCAR file:
```
BeCoTe4
1.0
0.000 4.436 4.436
4.436 0.000 4.436
4.436 4.436 0.000
Be Co Te
1 1 4
Cartesian
0.000 0.000 0.000
6.654 6.654 6.654
3.326 3.326 3.326
5.545 5.545 3.326
5.545 3.326 5.545
3.326 5.545 5.545
```

As for the uncorrected formation energy: 1.2552 eV per atom. As for the total energy: -2.64 eV per atom.

A relaxed structure of Be2CoTe. Source: the Alexandria database, functional PBE.

POSCAR file:
```
Be2CoTe
1.0
3.257 0.000 0.000
0.000 3.257 0.000
0.000 0.000 4.971
Be Co Te
2 1 1
Cartesian
0.000 0.000 0.000
1.628 1.628 0.991
0.000 0.000 2.130
1.628 1.628 3.458
```

As for the uncorrected formation energy: 0.4040 eV per atom. As for the total energy: -4.02 eV per atom.

A relaxed structure of Be2CoTe. Source: the Alexandria database, functional PBE.

POSCAR file:
```
Be2CoTe
1.0
0.000 2.974 2.974
2.974 0.000 2.974
2.974 2.974 0.000
Be Co Te
2 1 1
Cartesian
0.000 0.000 0.000
1.487 1.487 1.487
2.974 2.974 2.974
4.460 4.460 4.460
```

As for the uncorrected formation energy: 0.5794 eV per atom. As for the total energy: -3.85 eV per atom.

A relaxed structure of BeCoTe3. Source: the Alexandria database, functional PBE.

POSCAR file:
```
BeCoTe3
1.0
4.930 0.000 0.000
0.000 4.930 0.000
0.000 0.000 4.930
Be Co Te
1 1 3
Cartesian
0.000 0.000 0.000
2.465 2.465 2.465
0.000 0.000 2.465
0.000 2.465 0.000
2.465 0.000 0.000
```

As for the uncorrected formation energy: 0.8664 eV per atom. The value obtained for the relative energy among the computed polymorphs is 42 meV per atom. As for the total energy: -3.19 eV per atom.

A relaxed structure of Be2CoTe. Source: the Alexandria database, functional PBE.

POSCAR file:
```
Be2CoTe
1.0
-1.915 1.915 7.748
1.915 -1.915 7.748
1.915 1.915 -7.748
Be Co Te
4 2 2
Cartesian
2.873 0.496 -1.937
0.496 0.958 1.937
-0.958 1.419 5.811
1.419 0.958 9.685
0.000 0.000 0.000
0.000 1.915 3.874
1.915 0.000 3.874
0.000 0.000 7.748
```

As for the uncorrected formation energy: 0.3434 eV per atom. As for the total energy: -4.08 eV per atom.

A relaxed structure of BeCoTe. Source: the Alexandria database, functional PBE.

POSCAR file:
```
BeCoTe
1.0
3.108 -1.795 0.000
3.108 1.795 0.000
-2.086 0.000 8.841
Be Co Te
2 2 2
Cartesian
1.039 0.000 0.087
3.091 0.000 8.754
1.025 0.000 7.655
3.106 0.000 1.186
1.039 0.000 2.658
3.091 0.000 6.183
```

As for the uncorrected formation energy: -0.1890 eV per atom. The value obtained for the relative energy among the computed polymorphs is 0 meV per atom. As for the total energy: -4.85 eV per atom.

A relaxed structure of BeCoTe. Source: the Alexandria database, functional PBE.

POSCAR file:
```
BeCoTe
1.0
-1.472 1.472 5.811
1.472 -1.472 5.811
1.472 1.472 -5.811
Be Co Te
1 1 1
Cartesian
0.000 0.000 0.000
0.000 0.000 6.738
0.000 0.000 2.725
```

As for the uncorrected formation energy: 0.4238 eV per atom. The value obtained for the relative energy among the computed polymorphs is 613 meV per atom. As for the total energy: -4.23 eV per atom.

A relaxed structure of BeCoTe. Source: the Alexandria database, functional PBE.

POSCAR file:
```
BeCoTe
1.0
-1.719 1.719 3.608
1.719 -1.719 3.608
1.719 1.719 -3.608
Be Co Te
1 1 1
Cartesian
0.000 0.000 0.000
0.000 0.000 4.904
0.000 0.000 2.396
```

As for the uncorrected formation energy: 0.3029 eV per atom. The value obtained for the relative energy among the computed polymorphs is 492 meV per atom. As for the total energy: -4.36 eV per atom.

A relaxed structure of BeV2CoTe. Source: the Alexandria database, functional PBE.

POSCAR file:
```
BeV2CoTe
1.0
4.405 0.000 0.000
0.000 4.405 0.000
0.000 0.000 4.678
Be V Co Te
1 2 1 1
Cartesian
0.000 0.000 0.000
0.000 2.203 2.339
2.203 0.000 2.339
2.203 2.203 2.339
2.203 2.203 0.000
```

As for the uncorrected formation energy: 1.0546 eV per atom. As for the total energy: -5.39 eV per atom.

A relaxed structure of BeVCoTe2. Source: the Alexandria database, functional PBE.

POSCAR file:
```
BeVCoTe2
1.0
5.131 0.000 0.000
0.000 5.131 0.000
0.000 0.000 4.404
Be V Co Te
1 1 1 2
Cartesian
0.000 0.000 0.000
2.566 2.566 2.202
2.566 2.566 0.000
0.000 2.566 2.202
2.566 0.000 2.202
```

As for the uncorrected formation energy: 1.0610 eV per atom. As for the total energy: -4.19 eV per atom.

A relaxed structure of ThBe2Co2. Source: the Alexandria database, functional PBE.

POSCAR file:
```
ThBe2Co2
1.0
0.000 4.802 6.096
2.371 0.000 6.096
2.371 4.802 0.000
Th Be Co
2 4 4
Cartesian
0.593 1.200 1.524
4.149 8.403 10.668
1.778 1.800 4.572
2.964 4.201 7.620
1.778 5.403 4.572
2.964 7.804 7.620
1.778 3.601 3.225
1.778 3.601 5.919
2.964 6.002 6.273
2.964 6.002 8.967
```

The value obtained for the relative energy among the computed polymorphs is 0 meV per atom. As for the total energy: -6.10 eV per atom. As for the calculated formation energy: -283.3 meV per atom.

A relaxed structure of ThBe2Co2. Source: the Alexandria database, functional PBE.

POSCAR file:
```
ThBe2Co2
1.0
4.768 -1.983 0.000
4.768 1.983 0.000
-1.639 0.000 3.612
Th Be Co
1 2 2
Cartesian
0.000 0.000 0.000
2.853 0.000 1.304
5.044 0.000 2.308
1.154 0.000 2.710
6.743 0.000 0.902
```

The value obtained for the relative energy among the computed polymorphs is 9 meV per atom. As for the total energy: -6.09 eV per atom. As for the calculated formation energy: -274.5 meV per atom.

A relaxed structure of Th3Be2Co4. Source: the Alexandria database, functional PBE.

POSCAR file:
```
Th3Be2Co4
1.0
5.300 -1.915 0.000
5.300 1.915 0.000
-2.127 0.000 7.694
Th Be Co
3 2 4
Cartesian
0.000 0.000 0.000
2.859 0.000 2.546
5.613 0.000 5.148
2.535 0.000 5.522
5.938 0.000 2.172
-0.127 0.000 3.016
1.071 0.000 7.188
7.402 0.000 0.507
8.600 0.000 4.678
```

As for the total energy: -6.67 eV per atom. As for the calculated formation energy: -210.2 meV per atom.

A relaxed structure of Th2BeCo. Source: the Alexandria database, functional PBE.

POSCAR file:
```
Th2BeCo
1.0
1.926 1.112 9.048
-1.926 1.112 9.048
0.000 -2.223 9.048
Th Be Co
2 1 1
Cartesian
0.000 0.000 2.994
0.000 0.000 24.149
0.000 0.000 0.000
0.000 0.000 13.572
```

As for the total energy: -5.76 eV per atom. As for the calculated formation energy: 655.3 meV per atom.

A relaxed structure of ThBeCo. Source: the Alexandria database, functional PBE.

POSCAR file:
```
ThBeCo
1.0
3.947 0.000 0.000
-1.974 3.418 0.000
0.000 0.000 3.855
Th Be Co
1 1 1
Cartesian
0.000 0.000 0.000
1.974 1.139 1.927
0.000 2.279 1.927
```

The value obtained for the relative energy among the computed polymorphs is 0 meV per atom. As for the total energy: -6.27 eV per atom. As for the calculated formation energy: -186.8 meV per atom.

A relaxed structure of ThBeCo3. Source: the Alexandria database, functional PBE.

POSCAR file:
```
ThBeCo3
1.0
4.089 0.000 0.000
0.000 4.089 0.000
0.000 0.000 4.089
Th Be Co
1 1 3
Cartesian
0.000 0.000 0.000
2.045 2.045 2.045
0.000 2.045 2.045
2.045 0.000 2.045
2.045 2.045 0.000
```

As for the total energy: -6.66 eV per atom. As for the calculated formation energy: -165.6 meV per atom.

A relaxed structure of ThBe3Co. Source: the Alexandria database, functional PBE.

POSCAR file:
```
ThBe3Co
1.0
4.153 0.000 0.000
0.000 4.153 0.000
0.000 0.000 4.153
Th Be Co
1 3 1
Cartesian
0.000 0.000 0.000
0.000 2.077 2.077
2.077 0.000 2.077
2.077 2.077 0.000
2.077 2.077 2.077
```

As for the total energy: -5.23 eV per atom. As for the calculated formation energy: -85.5 meV per atom.

A relaxed structure of ThBeCo. Source: the Alexandria database, functional PBE.

POSCAR file:
```
ThBeCo
1.0
6.306 0.000 0.000
0.000 6.306 0.000
0.000 0.000 5.557
Th Be Co
4 4 4
Cartesian
1.529 1.529 0.000
1.624 4.682 1.389
4.682 1.624 4.167
4.776 4.776 2.778
1.178 5.128 4.167
1.975 1.975 2.778
4.330 4.330 0.000
5.128 1.178 1.389
0.416 0.416 2.778
2.737 3.568 4.167
3.568 2.737 1.389
5.890 5.890 0.000
```

The value obtained for the relative energy among the computed polymorphs is 294 meV per atom. As for the total energy: -5.98 eV per atom. As for the calculated formation energy: 107.5 meV per atom.

A relaxed structure of ThTi2BeCo4. Source: the Alexandria database, functional PBE.

POSCAR file:
```
ThTi2BeCo4
1.0
2.004 1.157 8.178
-2.004 1.157 8.178
0.000 -2.314 8.178
Th Ti Be Co
1 2 1 4
Cartesian
0.000 0.000 0.000
0.000 0.000 5.672
0.000 0.000 18.862
0.000 0.000 12.267
0.000 0.000 3.293
0.000 0.000 9.947
0.000 0.000 14.587
0.000 0.000 21.241
```

As for the total energy: -7.24 eV per atom. As for the calculated formation energy: -318.5 meV per atom.

| no. | total moment (μB per atom) |
| --- | --- |
| 1 | 0.63 |
| 2 | 0.00 |
| 3 | 0.00 |
| 4 | 0.00 |
| 5 | 0.00 |
| 6 | 0.00 |
| 7 | 0.01 |
| 8 | 0.00 |
| 9 | 0.41 |
| 10 | 0.44 |
| 11 | 0.00 |
| 12 | 0.00 |
| 13 | 0.42 |
| 14 | 0.00 |
| 15 | 0.00 |
| 16 | 0.00 |
| 17 | 0.00 |
| 18 | 0.59 |
| 19 | 0.29 |
| 20 | 0.00 |
| 21 | 0.00 |
| 22 | 0.00 |
| 23 | 0.00 |
| 24 | 0.00 |
| 25 | 0.16 |
| 26 | 0.00 |
| 27 | 0.00 |
| 28 | 0.00 |